1.
Computed, not measured: a relaxed Ho2Cu12Ni3Ge crystal at the PBE level of DFT.

Lattice parameters (Å, degrees): 6.3612 6.3612 6.3612 83.07 83.07 83.07
Last column: nearest neighbours and their distance in Å.
Positions (direct):
Ho (0.7467, 0.7467, 0.7467)  3 Ni 2.66, 6 Cu 2.82-2.95
Ho (0.2533, 0.2533, 0.2533)  3 Ni 2.66, 6 Cu 2.82-2.95
Cu (0.4257, 0.4257, 0.8493)  6 Cu 2.41-2.64
Cu (0.8001, 0.8001, 0.2771)  1 Ge 2.38, 5 Cu 2.41-2.53, 1 Ni 2.55
Cu (0.2771, 0.8001, 0.8001)  1 Ge 2.38, 5 Cu 2.41-2.53, 1 Ni 2.55
Cu (0.8493, 0.4257, 0.4257)  6 Cu 2.41-2.64
Cu (0.8001, 0.2771, 0.8001)  1 Ge 2.38, 5 Cu 2.41-2.53, 1 Ni 2.55
Cu (0.4257, 0.8493, 0.4257)  6 Cu 2.41-2.64
Cu (0.5743, 0.5743, 0.1507)  6 Cu 2.41-2.64
Cu (0.1999, 0.1999, 0.7229)  1 Ge 2.38, 5 Cu 2.41-2.53, 1 Ni 2.55
Cu (0.7229, 0.1999, 0.1999)  1 Ge 2.38, 5 Cu 2.41-2.53, 1 Ni 2.55
Cu (0.1507, 0.5743, 0.5743)  6 Cu 2.41-2.64
Cu (0.1999, 0.7229, 0.1999)  1 Ge 2.38, 5 Cu 2.41-2.53, 1 Ni 2.55
Cu (0.5743, 0.1507, 0.5743)  6 Cu 2.41-2.64
Ni (0.5000, 0.0000, 0.0000)  10 Cu 2.55-2.84, 2 Ho 2.66
Ni (0.0000, 0.5000, 0.0000)  10 Cu 2.55-2.84, 2 Ho 2.66
Ni (0.0000, 0.0000, 0.5000)  10 Cu 2.55-2.84, 2 Ho 2.66
Ge (0.0000, 0.0000, 0.0000)  6 Cu 2.38

Values from the calculation:
Uncorrected energy: -4.47 eV per atom
N(E_F): 5.6 states/eV/cell

---

2.
Computed, not measured: a relaxed Ho2CuNi4Ge3 crystal at the PBE level of DFT.

Lattice parameters (Å, degrees): 4.0175 4.0175 9.7745 90.00 90.00 90.00
Last column: nearest neighbours and their distance in Å.
Positions (direct):
Ho (0.5000, 0.0000, 0.2544)  8 Ni 3.05-3.20, 6 Ge 3.08-3.13, 2 Cu 3.13
Ho (0.0000, 0.5000, 0.7456)  8 Ni 3.05-3.20, 6 Ge 3.08-3.13, 2 Cu 3.13
Cu (0.5000, 0.5000, 0.5000)  4 Ni 2.39
Ni (0.5000, 0.5000, 0.0000)  4 Ge 2.38
Ni (0.0000, 0.0000, 0.0000)  4 Ge 2.38
Ni (0.5000, 0.0000, 0.6320)  3 Ge 2.31-2.39, 2 Cu 2.39
Ni (0.0000, 0.5000, 0.3680)  3 Ge 2.31-2.39, 2 Cu 2.39
Ge (0.0000, 0.0000, 0.5000)  4 Ni 2.39
Ge (0.5000, 0.0000, 0.8685)  5 Ni 2.31-2.38
Ge (0.0000, 0.5000, 0.1315)  5 Ni 2.31-2.38

Values from the calculation:
Uncorrected energy: -5.62 eV per atom
N(E_F): 7.3 states/eV/cell

---

3.
Computed, not measured: a relaxed Ho2CuGe4O12 crystal at the PBE level of DFT.

Lattice parameters (Å, degrees): 4.9913 7.2596 7.9918 113.64 86.88 103.23
Last column: nearest neighbours and their distance in Å.
Positions (direct):
Ho (0.9540, 0.7698, 0.5491)  6 O 2.24-2.38
Ho (0.0460, 0.2302, 0.4509)  6 O 2.24-2.38
Cu (0.0000, 0.0000, 0.0000)  4 O 1.98
Ge (0.4599, 0.8320, 0.2257)  4 O 1.76-1.80
Ge (0.5401, 0.1680, 0.7743)  4 O 1.76-1.80
Ge (0.4169, 0.6165, 0.7959)  4 O 1.75-1.82
Ge (0.5831, 0.3835, 0.2041)  4 O 1.75-1.82
O (0.2247, 0.9332, 0.3895)  1 Ge 1.76
O (0.7753, 0.0668, 0.6105)  1 Ge 1.76
O (0.2038, 0.5752, 0.6121)  1 Ge 1.75
O (0.7962, 0.4248, 0.3879)  1 Ge 1.75
O (0.5828, 0.6575, 0.2951)  2 Ge 1.80-1.82
O (0.4172, 0.3425, 0.7049)  2 Ge 1.80-1.82
O (0.2674, 0.6870, 0.0127)  2 Ge 1.77-1.79
O (0.2586, 0.2220, 0.1940)  1 Ge 1.75
O (0.7414, 0.7780, 0.8060)  1 Ge 1.75
O (0.2473, 0.9928, 0.7962)  1 Ge 1.76
O (0.7527, 0.0072, 0.2038)  1 Ge 1.76
O (0.7326, 0.3130, 0.9873)  2 Ge 1.77-1.79

Values from the calculation:
Formation energy (no corrections): -2084 meV/atom
Uncorrected energy: -6.88 eV per atom

---

4.
Computed, not measured: a relaxed Ho2CuGe2O8 crystal at the PBE level of DFT.

Lattice parameters (Å, degrees): 8.9094 8.9094 5.1584 74.19 74.19 115.24
Last column: nearest neighbours and their distance in Å.
Positions (direct):
Ho (0.3111, 0.5507, 0.7800)  5 O 2.24-2.37
Ho (0.5507, 0.3111, 0.7800)  5 O 2.24-2.37
Ho (0.0471, 0.8063, 0.3291)  7 O 2.25-2.41
Ho (0.8063, 0.0471, 0.3291)  7 O 2.25-2.41
Cu (0.9231, 0.3367, 0.6312)  4 O 1.92-2.06
Cu (0.3367, 0.9231, 0.6312)  4 O 1.92-2.06
Ge (0.1516, 0.1516, 0.6411)  4 O 1.78-1.79
Ge (0.8941, 0.4707, 0.0788)  5 O 1.77-1.97
Ge (0.4707, 0.8941, 0.0788)  5 O 1.77-1.97
Ge (0.6633, 0.6633, 0.0207)  4 O 1.77-1.81
O (0.1002, 0.6347, 0.0708)  1 Ge 1.77
O (0.6347, 0.1002, 0.0708)  1 Ge 1.77
O (0.0440, 0.2316, 0.4443)  1 Ge 1.78, 1 Cu 1.94
O (0.2316, 0.0440, 0.4443)  1 Ge 1.78, 1 Cu 1.94
O (0.4907, 0.4907, 0.9749)  1 Ge 1.78
O (0.7501, 0.2676, 0.4429)  1 Ge 1.82, 1 Cu 2.01
O (0.2676, 0.7501, 0.4429)  1 Ge 1.82, 1 Cu 2.01
O (0.7524, 0.5685, 0.2487)  2 Ge 1.81-1.97
O (0.5685, 0.7524, 0.2487)  2 Ge 1.81-1.97
O (0.3368, 0.3368, 0.6493)  1 Ge 1.79
O (0.8321, 0.8321, 0.6501)  1 Ge 1.77
O (0.8436, 0.5027, 0.7540)  1 Ge 1.83
O (0.5027, 0.8436, 0.7540)  1 Ge 1.83
O (0.9947, 0.9947, 0.0285)  1 Ge 1.79
O (0.0103, 0.3494, 0.9303)  1 Cu 1.92, 1 Ge 1.95
O (0.3494, 0.0103, 0.9303)  1 Cu 1.92, 1 Ge 1.95

Values from the calculation:
Formation energy (no corrections): -2286 meV/atom
Uncorrected energy: -7.07 eV per atom

---

5.
Computed, not measured: a relaxed HoPaCuGe crystal at the PBE level of DFT.

Lattice parameters (Å, degrees): 4.9430 4.9430 4.9430 60.00 60.00 60.00
Last column: nearest neighbours and their distance in Å.
Positions (direct):
Ge (0.2500, 0.2500, 0.2500)  4 Pa 3.03, 4 Ho 3.03
Pa (0.0000, 0.0000, 0.0000)  4 Ge 3.03, 4 Cu 3.03
Ho (0.5000, 0.5000, 0.5000)  4 Ge 3.03, 4 Cu 3.03
Cu (0.7500, 0.7500, 0.7500)  4 Ho 3.03, 4 Pa 3.03

Values from the calculation:
Uncorrected energy: -5.90 eV per atom
N(E_F): 5.4 states/eV/cell

---

6.
Computed, not measured: a relaxed HoCuGe2Pd crystal at the PBE level of DFT.

Lattice parameters (Å, degrees): 4.1291 4.1291 5.9700 110.23 110.23 90.00
Last column: nearest neighbours and their distance in Å.
Positions (direct):
Ho (0.0000, 0.0000, 0.0000)  8 Ge 3.16, 4 Cu 3.32, 4 Pd 3.32
Cu (0.2500, 0.7500, 0.5000)  4 Ge 2.49
Ge (0.6171, 0.6171, 0.2341)  1 Ge 2.44, 2 Cu 2.49, 2 Pd 2.49
Ge (0.3829, 0.3829, 0.7659)  1 Ge 2.44, 2 Cu 2.49, 2 Pd 2.49
Pd (0.7500, 0.2500, 0.5000)  4 Ge 2.49

Values from the calculation:
Uncorrected energy: -5.26 eV per atom
N(E_F): 2.5 states/eV/cell

---

7.
Computed, not measured: a relaxed HoCuGePd crystal at the PBE level of DFT.

Lattice parameters (Å, degrees): 4.6128 4.6128 4.6128 60.00 60.00 60.00
Last column: nearest neighbours and their distance in Å.
Positions (direct):
Ge (0.2500, 0.2500, 0.2500)  4 Cu 2.82, 4 Pd 2.82
Cu (0.0000, 0.0000, 0.0000)  4 Ho 2.82, 4 Ge 2.82
Ho (0.7500, 0.7500, 0.7500)  4 Pd 2.82, 4 Cu 2.82
Pd (0.5000, 0.5000, 0.5000)  4 Ho 2.82, 4 Ge 2.82

Values from the calculation:
Uncorrected energy: -5.16 eV per atom
N(E_F): 2.0 states/eV/cell

---

8.
Computed, not measured: a relaxed PmHoCu2Ge2 crystal at the PBE level of DFT.

Lattice parameters (Å, degrees): 4.2636 4.2636 7.5237 90.00 90.00 120.00
Last column: nearest neighbours and their distance in Å.
Positions (direct):
Pm (0.0000, 0.0000, 0.0000)  6 Ge 3.14, 6 Cu 3.18
Ho (0.0000, 0.0000, 0.5000)  6 Cu 3.02, 6 Ge 3.06
Cu (0.3333, 0.6667, 0.7323)  3 Ge 2.46
Cu (0.6667, 0.3333, 0.2677)  3 Ge 2.46
Ge (0.3333, 0.6667, 0.2584)  3 Cu 2.46
Ge (0.6667, 0.3333, 0.7416)  3 Cu 2.46

Values from the calculation:
Uncorrected energy: -5.14 eV per atom
N(E_F): 1.2 states/eV/cell

---

9.
Computed, not measured: a relaxed Pm2HoCu2Ge2 crystal at the PBE level of DFT.

Lattice parameters (Å, degrees): 4.2413 4.2413 10.5267 78.38 78.38 60.00
Last column: nearest neighbours and their distance in Å.
Positions (direct):
Pm (0.1206, 0.1206, 0.6382)  3 Ge 3.07, 3 Cu 3.16
Pm (0.8794, 0.8794, 0.3618)  3 Ge 3.07, 3 Cu 3.16
Ho (0.0000, 0.0000, 0.0000)  6 Cu 2.99, 6 Ge 3.07
Cu (0.6109, 0.6109, 0.1672)  3 Ge 2.45
Cu (0.3891, 0.3891, 0.8328)  3 Ge 2.45
Ge (0.7270, 0.7270, 0.8190)  3 Cu 2.45
Ge (0.2730, 0.2730, 0.1810)  3 Cu 2.45

Values from the calculation:
Uncorrected energy: -5.01 eV per atom
N(E_F): 4.8 states/eV/cell

---

10.
Computed, not measured: a relaxed PrHo2Cu2Ge2 crystal at the PBE level of DFT.

Lattice parameters (Å, degrees): 4.3298 4.3298 9.6792 77.08 77.08 60.00
Last column: nearest neighbours and their distance in Å.
Positions (direct):
Pr (0.0000, 0.0000, 0.0000)  6 Cu 3.24, 6 Ge 3.25, 2 Ho 3.59
Ho (0.1279, 0.1279, 0.6163)  3 Ge 2.92, 3 Cu 2.93
Ho (0.8721, 0.8721, 0.3837)  3 Ge 2.92, 3 Cu 2.93
Cu (0.5933, 0.5933, 0.2200)  3 Ge 2.50
Cu (0.4067, 0.4067, 0.7800)  3 Ge 2.50
Ge (0.7409, 0.7409, 0.7774)  3 Cu 2.50
Ge (0.2591, 0.2591, 0.2226)  3 Cu 2.50

Values from the calculation:
Uncorrected energy: -4.97 eV per atom
N(E_F): 3.2 states/eV/cell

---

uncorrected energy of number 2 (Ho2CuNi4Ge3)?
-5.62 eV per atom